1.
DFT (PBE) results for a geometry-optimized CdGaPd structure.

Results
N(E_F)	2.0	states/eV/f.u.
formation enthalpy at 0 K	-0.8	eV/f.u.
final energy	-3.31	eV per atom
crystal system	cubic

abc: 4.4028 4.4028 4.4028
angles: 60.00 60.00 60.00
Closest atoms and distances in Å follow each position.
Fractional positions:
Ga: 0.0000 0.0000 0.0000  4 Pd 2.70
Pd: 0.2500 0.2500 0.2500  4 Cd 2.70, 4 Ga 2.70
Cd: 0.5000 0.5000 0.5000  4 Pd 2.70

***

2.
DFT (PBE) results for a geometry-optimized CdGaPd structure.

Results
N(E_F)	0.8	states/eV/f.u.
formation enthalpy at 0 K	-1.0	eV/f.u.
final energy	-3.39	eV per atom
crystal system	triclinic

abc: 4.4985 4.5355 8.3157
angles: 62.78 88.84 52.47
Closest atoms and distances in Å follow each position.
Fractional positions:
Cd: 0.0912 0.6217 0.9785  3 Ga 2.74-2.99, 2 Pd 2.90-3.02, 3 Cd 2.95-2.99
Cd: 0.2215 0.2302 0.7481  4 Pd 2.81-3.08, 3 Cd 2.95-2.99, 3 Ga 2.96-3.06
Ga: 0.3663 0.9593 0.4596  5 Pd 2.54-2.72
Ga: 0.5174 0.6724 0.1782  4 Pd 2.60-2.70, 1 Cd 2.74
Pd: 0.9083 0.8218 0.3017  5 Ga 2.60-2.70
Pd: 0.7620 0.1615 0.5569  4 Ga 2.54-2.72, 2 Cd 2.81-2.83

***

3.
DFT (PBE) results for a geometry-optimized Cd2GaPd3 structure.

Results
N(E_F)	1.7	states/eV/f.u.
formation enthalpy at 0 K	-2.0	eV/f.u.
final energy	-3.74	eV per atom
crystal system	orthorhombic
energy relative to the lowest polymorph listed for this composition	137	meV per atom

abc: 3.0024 5.7169 12.4772
angles: 90.00 96.91 90.00
Closest atoms and distances in Å follow each position.
Fractional positions:
Cd: 0.1599 0.7500 0.3198  6 Pd 2.80-2.86, 2 Cd 3.00
Cd: 0.8401 0.2500 0.6802  6 Pd 2.80-2.86, 2 Cd 3.00
Cd: 0.9993 0.7500 0.9986  4 Cd 2.86-3.00, 8 Pd 2.86-2.88
Cd: 0.0007 0.2500 0.0014  4 Cd 2.86-3.00, 8 Pd 2.86-2.88
Ga: 0.3359 0.7500 0.6718  4 Pd 2.50-2.52
Ga: 0.6641 0.2500 0.3282  4 Pd 2.50-2.52
Pd: 0.4197 0.4994 0.8393  1 Ga 2.52
Pd: 0.5803 0.5006 0.1607  1 Ga 2.52
Pd: 0.4197 0.0006 0.8393  1 Ga 2.52
Pd: 0.5803 0.9994 0.1607  1 Ga 2.52
Pd: 0.7554 0.7500 0.5108  2 Ga 2.50
Pd: 0.2446 0.2500 0.4892  2 Ga 2.50

***

4.
DFT (PBE) results for a geometry-optimized CdGa3Pd12 structure.

Results
N(E_F)	18.8	states/eV/f.u.
formation enthalpy at 0 K	-6.3	eV/f.u.
final energy	-4.91	eV per atom
crystal system	tetragonal

abc: 3.9764 3.9764 15.5972
angles: 90.00 90.00 90.00
Closest atoms and distances in Å follow each position.
Fractional positions:
Cd: 0.0000 0.0000 0.0000  12 Pd 2.81-2.87
Ga: 0.0000 0.0000 0.2533  12 Pd 2.73-2.81
Ga: 0.0000 0.0000 0.5000  12 Pd 2.76-2.81
Ga: 0.0000 0.0000 0.7467  12 Pd 2.73-2.81
Pd: 0.5000 0.5000 0.0000  4 Cd 2.81, 8 Pd 2.87
Pd: 0.5000 0.5000 0.2551  8 Pd 2.75, 4 Ga 2.81
Pd: 0.5000 0.5000 0.5000  8 Pd 2.76, 4 Ga 2.81
Pd: 0.5000 0.5000 0.7449  8 Pd 2.75, 4 Ga 2.81
Pd: 0.5000 0.0000 0.1330  2 Ga 2.73, 8 Pd 2.75-2.87, 2 Cd 2.87
Pd: 0.5000 0.0000 0.3771  8 Pd 2.75-2.81, 4 Ga 2.76-2.77
Pd: 0.5000 0.0000 0.6229  8 Pd 2.75-2.81, 4 Ga 2.76-2.77
Pd: 0.5000 0.0000 0.8670  2 Ga 2.73, 8 Pd 2.75-2.87, 2 Cd 2.87
Pd: 0.0000 0.5000 0.1330  2 Ga 2.73, 8 Pd 2.75-2.87, 2 Cd 2.87
Pd: 0.0000 0.5000 0.3771  8 Pd 2.75-2.81, 4 Ga 2.76-2.77
Pd: 0.0000 0.5000 0.6229  8 Pd 2.75-2.81, 4 Ga 2.76-2.77
Pd: 0.0000 0.5000 0.8670  2 Ga 2.73, 8 Pd 2.75-2.87, 2 Cd 2.87

***

5.
DFT (PBE) results for a geometry-optimized Cd2GaPd2 structure.

Results
N(E_F)	1.7	states/eV/f.u.
formation enthalpy at 0 K	-2.0	eV/f.u.
final energy	-3.44	eV per atom
crystal system	tetragonal
energy relative to the lowest polymorph listed for this composition	0	meV per atom

abc: 6.5971 6.5971 4.2328
angles: 90.00 90.00 90.00
Closest atoms and distances in Å follow each position.
Fractional positions:
Ga: 0.0000 0.0000 0.0000  4 Pd 2.51
Ga: 0.5000 0.5000 0.0000  4 Pd 2.51
Pd: 0.3488 0.8488 0.0000  2 Ga 2.51, 2 Cd 2.77
Pd: 0.8488 0.6512 0.0000  2 Ga 2.51, 2 Cd 2.77
Pd: 0.6512 0.1512 0.0000  2 Ga 2.51, 2 Cd 2.77
Pd: 0.1512 0.3488 0.0000  2 Ga 2.51, 2 Cd 2.77
Cd: 0.1566 0.6566 0.5000  6 Pd 2.77-2.93, 1 Cd 2.92
Cd: 0.6566 0.8434 0.5000  6 Pd 2.77-2.93, 1 Cd 2.92
Cd: 0.8434 0.3434 0.5000  6 Pd 2.77-2.93, 1 Cd 2.92
Cd: 0.3434 0.1566 0.5000  6 Pd 2.77-2.93, 1 Cd 2.92

***

6.
DFT (PBE) results for a geometry-optimized Cd3GaPd3 structure.

Results
N(E_F)	2.4	states/eV/f.u.
formation enthalpy at 0 K	-2.1	eV/f.u.
final energy	-3.35	eV per atom
crystal system	monoclinic

abc: 5.6248 5.6248 8.3891
angles: 91.30 91.30 101.70
Closest atoms and distances in Å follow each position.
Fractional positions:
Cd: 0.5729 0.5729 0.3226  5 Pd 2.84-2.92
Cd: 0.1762 0.8238 0.5000  6 Pd 2.77-2.86, 1 Cd 3.07
Cd: 0.8238 0.1762 0.5000  6 Pd 2.77-2.86, 1 Cd 3.07
Cd: 0.2603 0.7397 0.0000  4 Ga 2.80-2.89, 6 Pd 2.83-2.93
Cd: 0.7397 0.2603 0.0000  4 Ga 2.80-2.89, 6 Pd 2.83-2.93
Cd: 0.4271 0.4271 0.6774  5 Pd 2.84-2.92
Ga: 0.7530 0.7530 0.9498  4 Pd 2.54-2.58, 2 Cd 2.80
Ga: 0.2470 0.2470 0.0502  4 Pd 2.54-2.58, 2 Cd 2.80
Pd: 0.9464 0.9464 0.2141  2 Ga 2.57-2.58, 3 Cd 2.84-2.86
Pd: 0.9498 0.5302 0.7399  1 Ga 2.54, 4 Cd 2.77-2.84
Pd: 0.5302 0.9498 0.7399  1 Ga 2.54, 4 Cd 2.77-2.84
Pd: 0.0502 0.4698 0.2601  1 Ga 2.54, 4 Cd 2.77-2.84
Pd: 0.4698 0.0502 0.2601  1 Ga 2.54, 4 Cd 2.77-2.84
Pd: 0.0536 0.0536 0.7859  2 Ga 2.57-2.58, 3 Cd 2.84-2.86